(1)
First-principles (GGA-PBE) data for a relaxed structure of K2NbSe2S, as listed in OQMD via LeMat-Bulk.

Computed properties:
The calculated total energy comes out at -60.35 eV for the cell shown. The total magnetic moment comes out at 0.001 μB per cell.

a = 7.0100 Å, b = 7.5807 Å, c = 8.4965 Å
α = 76.46°, β = 70.99°, γ = 67.99°
Closest atoms and distances in Å follow each position.
Atoms (fractional coordinates):
K: 0.8414 0.5698 0.3065  1 S 3.30, 5 Se 3.41-3.58
K: 0.3983 0.8065 0.8646  1 S 3.28, 5 Se 3.36-3.57
K: 0.6017 0.1935 0.1354  1 S 3.28, 5 Se 3.36-3.57
K: 0.1586 0.4302 0.6935  1 S 3.30, 5 Se 3.41-3.58
Se: 0.6615 0.3820 0.7162  1 Nb 2.43
Se: 0.3385 0.6180 0.2838  1 Nb 2.43
Se: 0.8713 0.8135 0.9114  1 Nb 2.42
Se: 0.1287 0.1865 0.0886  1 Nb 2.42
S: 0.7716 0.9541 0.4658  2 Nb 2.37-2.38
S: 0.2284 0.0459 0.5342  2 Nb 2.37-2.38
Nb: 0.8714 0.0527 0.6656  2 S 2.37-2.38, 2 Se 2.42-2.43
Nb: 0.1286 0.9473 0.3344  2 S 2.37-2.38, 2 Se 2.42-2.43

(2)
First-principles (GGA-PBE) data for a relaxed structure of KNbSb, as listed in OQMD via LeMat-Bulk.

Computed properties:
The calculated total energy comes out at -13.20 eV for the cell shown. The total magnetic moment comes out at 2.633 μB per cell.

a = 5.1114 Å, b = 5.1114 Å, c = 5.1114 Å
α = 60.00°, β = 60.00°, γ = 60.00°
Closest atoms and distances in Å follow each position.
Atoms (fractional coordinates):
Sb: 0.2500 0.2500 0.2500  4 Nb 3.13, 4 K 3.13
K: 0.0000 0.0000 0.0000  4 Sb 3.13
Nb: 0.5000 0.5000 0.5000  4 Sb 3.13

(3)
First-principles (GGA-PBE) data for a relaxed structure of KNbSb4, as listed in OQMD via LeMat-Bulk.

Computed properties:
The calculated total energy comes out at -28.67 eV for the cell shown. The total magnetic moment comes out at 0.014 μB per cell.

a = 5.3887 Å, b = 5.3887 Å, c = 10.2269 Å
α = 106.71°, β = 106.71°, γ = 43.33°
Closest atoms and distances in Å follow each position.
Atoms (fractional coordinates):
Sb: 0.6121 0.6121 0.4847  2 Nb 2.88, 1 Sb 2.92
Sb: 0.1391 0.1391 0.9755  1 Nb 2.90, 3 Sb 2.97-3.04
Sb: 0.4386 0.4386 0.6678  3 Nb 2.88-2.95, 1 Sb 2.92
Sb: 0.8209 0.8209 0.8977  3 Sb 2.97-3.04, 2 Nb 2.97
K: 0.8351 0.8351 0.2772  6 Sb 3.53-3.84
Nb: 0.1542 0.1542 0.6970  8 Sb 2.88-2.97

(4)
First-principles (GGA-PBE) data for a relaxed structure of KNbSb, as listed in OQMD via LeMat-Bulk.

Computed properties:
The calculated total energy comes out at -31.79 eV for the cell shown. The total magnetic moment comes out at 0.383 μB per cell.

a = 4.2543 Å, b = 4.2543 Å, c = 9.5490 Å
α = 90.00°, β = 90.00°, γ = 90.00°
Closest atoms and distances in Å follow each position.
Atoms (fractional coordinates):
Sb: 0.0000 0.5000 0.7972  4 Nb 2.88
Sb: 0.5000 0.0000 0.2028  4 Nb 2.88
K: 0.0000 0.5000 0.3588  4 Sb 3.36
K: 0.5000 0.0000 0.6412  4 Sb 3.36
Nb: 0.5000 0.5000 0.0000  4 Sb 2.88, 4 Nb 3.01
Nb: 0.0000 0.0000 0.0000  4 Sb 2.88, 4 Nb 3.01

(5)
First-principles (GGA-PBE) data for a relaxed structure of KNbSb, as listed in OQMD via LeMat-Bulk.

Computed properties:
The calculated total energy comes out at -10.98 eV for the cell shown. The total magnetic moment comes out at 2.999 μB per cell.

a = 5.1498 Å, b = 5.1498 Å, c = 5.1498 Å
α = 60.00°, β = 60.00°, γ = 60.00°
Closest atoms and distances in Å follow each position.
Atoms (fractional coordinates):
Sb: 0.7500 0.7500 0.7500  4 K 3.15
Nb: 0.2500 0.2500 0.2500  4 K 3.15
K: 0.0000 0.0000 0.0000  4 Sb 3.15, 4 Nb 3.15

(6)
First-principles (GGA-PBE) data for a relaxed structure of KNb3Sb5, as listed in OQMD via LeMat-Bulk.

Computed properties:
The calculated total energy comes out at -54.32 eV for the cell shown. The total magnetic moment comes out at 0.008 μB per cell.

a = 5.7878 Å, b = 5.7878 Å, c = 9.2490 Å
α = 90.00°, β = 90.00°, γ = 120.00°
Closest atoms and distances in Å follow each position.
Atoms (fractional coordinates):
Sb: 0.6667 0.3333 0.7589  3 Nb 2.92
Sb: 0.0000 0.0000 0.5000  6 Nb 2.89
Sb: 0.3333 0.6667 0.2411  3 Nb 2.92
Sb: 0.3333 0.6667 0.7589  3 Nb 2.92
Sb: 0.6667 0.3333 0.2411  3 Nb 2.92
Nb: 0.5000 0.5000 0.5000  4 Nb 2.89, 6 Sb 2.89-2.92
Nb: 0.5000 0.0000 0.5000  6 Sb 2.89-2.92, 4 Nb 2.89
Nb: 0.0000 0.5000 0.5000  4 Nb 2.89, 6 Sb 2.89-2.92
K: 0.0000 0.0000 0.0000  12 Sb 4.02

(7)
First-principles (GGA-PBE) data for a relaxed structure of KScNbSe3, as listed in OQMD via LeMat-Bulk.

Computed properties:
The calculated total energy comes out at -69.27 eV for the cell shown. The total magnetic moment comes out at 1.744 μB per cell.

a = 7.8962 Å, b = 7.8962 Å, c = 10.3808 Å
α = 90.00°, β = 90.00°, γ = 151.05°
Closest atoms and distances in Å follow each position.
Atoms (fractional coordinates):
Nb: 0.0323 0.9677 0.2500  4 Se 2.51-2.56
Nb: 0.9677 0.0323 0.7500  4 Se 2.51-2.56
Sc: 0.5000 0.5000 0.0000  6 Se 2.76-2.83
Sc: 0.5000 0.5000 0.5000  6 Se 2.76-2.83
Se: 0.8776 0.1224 0.9521  1 Nb 2.51, 2 Sc 2.76
Se: 0.4256 0.5744 0.2500  2 Nb 2.56, 2 Sc 2.83
Se: 0.5744 0.4256 0.7500  2 Nb 2.56, 2 Sc 2.83
Se: 0.1224 0.8776 0.0479  1 Nb 2.51, 2 Sc 2.76
Se: 0.8776 0.1224 0.5479  1 Nb 2.51, 2 Sc 2.76
Se: 0.1224 0.8776 0.4521  1 Nb 2.51, 2 Sc 2.76
K: 0.2470 0.7530 0.7500  8 Se 3.30-3.63
K: 0.7530 0.2470 0.2500  8 Se 3.30-3.63

(8)
First-principles (GGA-PBE) data for a relaxed structure of KNbSe3, as listed in OQMD via LeMat-Bulk.

Computed properties:
The calculated total energy comes out at -104.70 eV for the cell shown. The total magnetic moment comes out at 0.022 μB per cell.

a = 7.5924 Å, b = 13.0278 Å, c = 6.5010 Å
α = 90.00°, β = 99.60°, γ = 90.00°
Closest atoms and distances in Å follow each position.
Atoms (fractional coordinates):
Se: 0.2503 0.9658 0.1517  1 Nb 2.37
Se: 0.9708 0.7764 0.6874  2 Nb 2.51-2.67
Se: 0.5510 0.3075 0.7442  2 Nb 2.47-2.66
Se: 0.0292 0.2236 0.3126  2 Nb 2.51-2.67
Se: 0.2503 0.5342 0.6517  1 Nb 2.37
Se: 0.7497 0.4658 0.3483  1 Nb 2.37
Se: 0.5510 0.1925 0.2442  2 Nb 2.47-2.66
Se: 0.4490 0.8075 0.7558  2 Nb 2.47-2.66
Se: 0.0292 0.2764 0.8126  2 Nb 2.51-2.67
Se: 0.7497 0.0342 0.8483  1 Nb 2.37
Se: 0.9708 0.7236 0.1874  2 Nb 2.51-2.67
Se: 0.4490 0.6925 0.2558  2 Nb 2.47-2.66
Nb: 0.2222 0.7952 0.0263  3 Se 2.37-2.51
Nb: 0.2222 0.7048 0.5263  3 Se 2.37-2.51
Nb: 0.7778 0.2048 0.9737  3 Se 2.37-2.51
Nb: 0.7778 0.2952 0.4737  3 Se 2.37-2.51
K: 0.2968 0.4247 0.1804  7 Se 3.45-3.68
K: 0.7032 0.5753 0.8196  7 Se 3.45-3.68
K: 0.7032 0.9247 0.3196  7 Se 3.45-3.68
K: 0.2968 0.0753 0.6804  7 Se 3.45-3.68